# 1
Here is crystalline RbCa3Sm2Te6 at its relaxed geometry from Alexandria. Energies are from PBE-GGA.

Cell lengths 4.5256, 9.3129, 10.1770 Å; angles 102.34, 102.85, 90.00 degrees
Closest atoms and distances in Å follow each position.
Sites, in units of the cell vectors:
Te 0.6687 0.5842 0.3373  3 Sm 3.20-3.22, 3 Ca 3.27-3.28
Te 0.6773 0.0974 0.3546  3 Ca 3.13-3.29, 2 Sm 3.22, 1 Rb 3.44
Sm 0.8338 0.6634 0.6676  6 Te 3.14-3.22
Ca 0.5000 0.5000 0.0000  6 Te 3.09-3.27
Te 0.0043 0.2756 0.0085  3 Ca 3.09-3.21, 1 Sm 3.14, 2 Rb 3.41
Ca 0.8391 0.1652 0.6782  6 Te 3.13-3.29
Te 0.3227 0.9026 0.6454  3 Ca 3.13-3.29, 2 Sm 3.22, 1 Rb 3.44
Te 0.3313 0.4158 0.6627  3 Sm 3.20-3.22, 3 Ca 3.27-3.28
Te 0.9957 0.7244 0.9915  3 Ca 3.09-3.21, 1 Sm 3.14, 2 Rb 3.41
Rb 0.5000 0.0000 0.0000  6 Te 3.41-3.44
Sm 0.1662 0.3366 0.3324  6 Te 3.14-3.22
Ca 0.1609 0.8348 0.3218  6 Te 3.13-3.29

The density comes out at 5.2 g/cm3. The value obtained for the uncorrected formation energy is -1.457 eV per atom.


# 2
Here is crystalline RbCaSn4 at its relaxed geometry from Alexandria. Energies are from PBE-GGA.

Cell lengths 6.4331, 6.4331, 6.4331 Å; angles 60.00, 60.00, 60.00 degrees
Closest atoms and distances in Å follow each position.
Sites, in units of the cell vectors:
Rb 0.2500 0.2500 0.2500  12 Sn 3.77, 4 Ca 3.94
Sn 0.6257 0.6257 0.6257  6 Sn 3.20-3.23
Sn 0.1229 0.6257 0.6257  6 Sn 3.20-3.23
Ca 0.0000 0.0000 0.0000  12 Sn 3.77, 4 Rb 3.94
Sn 0.6257 0.1229 0.6257  6 Sn 3.20-3.23
Sn 0.6257 0.6257 0.1229  6 Sn 3.20-3.23

The density comes out at 5.3 g/cm3. The value obtained for the formation energy is -21 kJ per mole of atoms.


# 3
Here is crystalline RbCa2Sn2 at its relaxed geometry from Alexandria. Energies are from PBE-GGA.

Cell lengths 9.6578, 9.6578, 3.7111 Å; angles 90.00, 90.00, 90.00 degrees
Closest atoms and distances in Å follow each position.
Sites, in units of the cell vectors:
Sn 0.6309 0.1309 0.0000  6 Ca 3.34-3.45, 3 Sn 3.58-3.71
Ca 0.8442 0.3442 0.5000  6 Sn 3.34-3.45, 2 Ca 3.71
Rb 0.0000 0.0000 0.0000  2 Rb 3.71, 4 Sn 3.78, 8 Ca 4.09
Rb 0.5000 0.5000 0.0000  2 Rb 3.71, 4 Sn 3.78, 8 Ca 4.09
Ca 0.3442 0.1558 0.5000  6 Sn 3.34-3.45, 2 Ca 3.71
Sn 0.8691 0.6309 0.0000  6 Ca 3.34-3.45, 3 Sn 3.58-3.71
Sn 0.1309 0.3691 0.0000  6 Ca 3.34-3.45, 3 Sn 3.58-3.71
Ca 0.1558 0.6558 0.5000  6 Sn 3.34-3.45, 2 Ca 3.71
Sn 0.3691 0.8691 0.0000  6 Ca 3.34-3.45, 3 Sn 3.58-3.71
Ca 0.6558 0.8442 0.5000  6 Sn 3.34-3.45, 2 Ca 3.71

The density comes out at 3.9 g/cm3. The value obtained for the formation energy is -35 kJ per mole of atoms.


# 4
Here is crystalline RbCa3Sn at its relaxed geometry from Alexandria. Energies are from PBE-GGA.

Cell lengths 6.2076, 6.2076, 6.2076 Å; angles 90.00, 90.00, 90.00 degrees
Closest atoms and distances in Å follow each position.
Sites, in units of the cell vectors:
Sn 0.0000 0.0000 0.0000  6 Ca 3.10
Rb 0.5000 0.5000 0.5000  12 Ca 4.39
Ca 0.0000 0.5000 0.0000  2 Sn 3.10
Ca 0.0000 0.0000 0.5000  2 Sn 3.10
Ca 0.5000 0.0000 0.0000  2 Sn 3.10

The density comes out at 2.3 g/cm3. The value obtained for the formation energy is -12 kJ per mole of atoms.


# 5
Here is crystalline RbCa3Sn at its relaxed geometry from Alexandria. Energies are from PBE-GGA.

Cell lengths 5.9222, 5.9222, 5.9222 Å; angles 90.00, 90.00, 90.00 degrees
Closest atoms and distances in Å follow each position.
Sites, in units of the cell vectors:
Sn 0.5000 0.5000 0.5000  12 Ca 4.19
Rb 0.0000 0.0000 0.0000  6 Ca 2.96
Ca 0.0000 0.0000 0.5000  2 Rb 2.96
Ca 0.0000 0.5000 0.0000  2 Rb 2.96
Ca 0.5000 0.0000 0.0000  2 Rb 2.96

The density comes out at 2.6 g/cm3. The value obtained for the formation energy is 94 kJ per mole of atoms.


# 6
Here is crystalline Rb3CaSn at its relaxed geometry from Alexandria. Energies are from PBE-GGA.

Cell lengths 7.1548, 7.1548, 7.1548 Å; angles 90.00, 90.00, 90.00 degrees
Closest atoms and distances in Å follow each position.
Sites, in units of the cell vectors:
Rb 0.5000 0.0000 0.0000  2 Sn 3.58
Rb 0.0000 0.0000 0.5000  2 Sn 3.58
Ca 0.5000 0.5000 0.5000  12 Rb 5.06
Sn 0.0000 0.0000 0.0000  6 Rb 3.58
Rb 0.0000 0.5000 0.0000  2 Sn 3.58

The density comes out at 1.9 g/cm3. The value obtained for the formation energy is 26 kJ per mole of atoms.


# 7
Here is crystalline RbCaSn4 at its relaxed geometry from Alexandria. Energies are from PBE-GGA.

Cell lengths 4.4928, 4.4927, 12.6757 Å; angles 79.88, 79.88, 60.04 degrees
Closest atoms and distances in Å follow each position.
Sites, in units of the cell vectors:
Ca 0.0000 0.0000 0.0000  8 Sn 3.30-3.42
Sn 0.9088 0.9088 0.2759  3 Sn 2.94
Sn 0.0912 0.0912 0.7241  3 Sn 2.94
Sn 0.3879 0.3879 0.8352  3 Sn 2.94
Rb 0.5000 0.5000 0.5000  8 Sn 3.80-4.16
Sn 0.6121 0.6121 0.1648  3 Sn 2.94

The density comes out at 4.6 g/cm3. The value obtained for the formation energy is -31 kJ per mole of atoms.


# 8
Here is crystalline Rb2Ca2Sn at its relaxed geometry from Alexandria. Energies are from PBE-GGA.

Cell lengths 4.7123, 4.7123, 11.0873 Å; angles 77.73, 77.73, 90.00 degrees
Closest atoms and distances in Å follow each position.
Sites, in units of the cell vectors:
Sn 0.0000 0.0000 0.0000  8 Ca 3.71
Ca 0.5769 0.5769 0.8463  1 Ca 3.25
Ca 0.4231 0.4231 0.1537  1 Ca 3.25
Rb 0.2500 0.7500 0.5000  4 Rb 3.33
Rb 0.7500 0.2500 0.5000  4 Rb 3.33

The density comes out at 2.6 g/cm3. The value obtained for the formation energy is 33 kJ per mole of atoms.